No. 1
NaTl6Hg6 | PBE | relaxed

It has space group Cmmm (No. 65), with a = 6.696 Å, b = 11.651 Å, c = 10.353 Å, α = 90.00°, β = 90.00° and γ = 90.00°. The inequivalent atoms are Na at (0.000, 0.000, 0.000), Tl at (0.000, 0.500, 0.250), Tl at (0.250, 0.250, 0.250), Hg at (0.000, 0.000, 0.349), Hg at (0.000, 0.334, 0.000) and Hg at (0.000, 0.334, 0.500).

The value obtained for the formation energy is 0.013 eV/atom. The calculated volume is 31.06 Å³/atom. As for the total energy: -1.320 eV/atom.

No. 2
Na5Tl2Hg | PBE | relaxed

It has space group Pbam (No. 55), with a = 6.719 Å, b = 12.676 Å, c = 5.456 Å, α = 90.00°, β = 90.00° and γ = 90.00°. The inequivalent atoms are Na at (0.000, 0.000, 0.000), Na at (0.132, 0.385, 0.500), Na at (0.154, 0.737, 0.000), Tl at (0.120, 0.125, 0.500) and Hg at (0.000, 0.500, 0.000).

The value obtained for the formation energy is -0.128 eV/atom. For the energy above the most stable polymorph in this dataset, the calculation gives 0 meV per atom. The calculated volume is 29.04 Å³/atom. As for the total energy: -1.582 eV/atom.

No. 3
Na6Tl3Hg | PBE | relaxed

It has space group P2_1/m (No. 11), with a = 9.267 Å, b = 5.536 Å, c = 12.114 Å, α = 90.00°, β = 111.18° and γ = 90.00°. The inequivalent atoms are Na at (0.013, 0.250, 0.157), Na at (0.014, 0.750, 0.345), Na at (0.228, 0.750, 0.138), Na at (0.235, 0.250, 0.488), Na at (0.404, 0.750, 0.933), Na at (0.448, 0.250, 0.292), Tl at (0.177, 0.750, 0.651), Tl at (0.194, 0.250, 0.958), Tl at (0.377, 0.250, 0.774) and Hg at (0.391, 0.750, 0.425).

The value obtained for the formation energy is -0.128 eV/atom. For the energy above the most stable polymorph in this dataset, the calculation gives 0 meV per atom. The calculated volume is 28.98 Å³/atom. As for the total energy: -1.660 eV/atom.

No. 4
Na4Tl3Hg | PBE | relaxed

It has space group Pmm2 (No. 25), with a = 3.557 Å, b = 5.243 Å, c = 12.376 Å, α = 90.00°, β = 90.00° and γ = 90.00°. The inequivalent atoms are Na at (0.000, 0.000, 0.000), Na at (0.000, 0.500, 0.322), Na at (0.500, 0.000, 0.492), Na at (0.500, 0.500, 0.824), Tl at (0.000, 0.000, 0.730), Tl at (0.000, 0.500, 0.588), Tl at (0.500, 0.500, 0.091) and Hg at (0.500, 0.000, 0.232).

The value obtained for the formation energy is -0.130 eV/atom. The calculated volume is 28.85 Å³/atom. As for the total energy: -1.715 eV/atom.

No. 5
NaTl6Hg | PBE | relaxed

It has space group R-3m (No. 166, hexagonal axes), with a = 11.3517 Å, b = 11.3517 Å, c = 6.5252 Å, α = 90.00°, β = 90.00° and γ = 120.00°. The inequivalent atoms are Na at (0.0000, 0.0000, 0.0000), Tl at (0.0075, 0.5037, 0.2531) and Hg at (0.0000, 0.0000, 0.5000).

The value obtained for the formation energy is -0.021 eV/atom. For the energy above the most stable polymorph in this dataset, the calculation gives 16 meV per atom. The calculated volume is 30.34 Å³/atom. As for the total energy: -1.999 eV/atom.

No. 6
NaTl2Hg | PBE | relaxed

It has space group P4/mmm (No. 123), with a = 4.791 Å, b = 4.791 Å, c = 4.828 Å, α = 90.00°, β = 90.00° and γ = 90.00°. The inequivalent atoms are Na at (0.000, 0.000, 0.000), Tl at (0.000, 0.500, 0.500) and Hg at (0.500, 0.500, 0.000).

The value obtained for the formation energy is -0.107 eV/atom. The calculated volume is 27.70 Å³/atom. As for the total energy: -1.695 eV/atom.

No. 7
NaTl5Hg2 | PBE | relaxed

It has space group Pbam (No. 55), with a = 6.992 Å, b = 13.873 Å, c = 4.745 Å, α = 90.00°, β = 90.00° and γ = 90.00°. The inequivalent atoms are Na at (0.000, 0.000, 0.000), Tl at (0.000, 0.244, 0.000), Tl at (0.000, 0.500, 0.000), Tl at (0.241, 0.373, 0.500) and Hg at (0.244, 0.121, 0.500).

The value obtained for the formation energy is -0.044 eV/atom. For the energy above the most stable polymorph in this dataset, the calculation gives 12 meV per atom. The calculated volume is 28.77 Å³/atom. As for the total energy: -1.764 eV/atom.

No. 8
NaTl12Hg7 | PBE | relaxed

It has space group R-3 (No. 148, hexagonal axes), with a = 12.7479 Å, b = 12.7479 Å, c = 12.9688 Å, α = 90.00°, β = 90.00° and γ = 120.00°. The inequivalent atoms are Na at (0.0000, 0.0000, 0.0000), Tl at (0.0373, 0.5873, 0.7085), Tl at (0.0562, 0.2375, 0.4001), Hg at (0.0000, 0.0000, 0.5000) and Hg at (0.0727, 0.8969, 0.8053).

The value obtained for the formation energy is 0.019 eV/atom. For the energy above the most stable polymorph in this dataset, the calculation gives 22 meV per atom. The calculated volume is 30.42 Å³/atom. As for the total energy: -1.573 eV/atom.